# 1
First-principles (PBE) data for an optimized crystal structure of Dy3Zn9Sn2, as listed in the Alexandria database.

Summary:
- energy (eV/atom) = -2.714

Geometry as CIF:
```
data_Dy3Zn9Sn2
_chemical_formula_sum 'Dy3 Zn9 Sn2'
_symmetry_space_group_name_H-M 'P 1'
_symmetry_Int_Tables_number 1
_symmetry_space_group_name_Hall 'P 1'
_cell_length_a 4.298
_cell_length_b 8.350
_cell_length_c 8.350
_cell_angle_alpha 73.30
_cell_angle_beta 75.09
_cell_angle_gamma 75.09
loop_
_atom_site_label
_atom_site_type_symbol
_atom_site_fract_x
_atom_site_fract_y
_atom_site_fract_z
_atom_site_occupancy
Zn1 Zn 0.155 0.579 0.111 1
Zn2 Zn 0.338 0.285 0.040 1
Sn1 Sn 0.500 0.705 0.295 1
Zn3 Zn 0.662 0.960 0.715 1
Dy1 Dy 0.695 0.305 0.305 1
Zn4 Zn 0.155 0.111 0.579 1
Zn5 Zn 0.845 0.421 0.889 1
Dy2 Dy 0.000 0.000 0.000 1
Dy3 Dy 0.305 0.695 0.695 1
Zn6 Zn 0.000 0.500 0.500 1
Zn7 Zn 0.338 0.040 0.285 1
Zn8 Zn 0.845 0.889 0.421 1
Zn9 Zn 0.662 0.715 0.960 1
Sn2 Sn 0.500 0.295 0.705 1
```



# 2
First-principles (PBE) data for an optimized crystal structure of LiTbSmAl, as listed in the Alexandria database.

Summary:
- energy (eV/atom) = -3.954

Geometry as CIF:
```
data_LiTbSmAl
_chemical_formula_sum 'Li1 Tb1 Sm1 Al1'
_symmetry_space_group_name_H-M 'P 1'
_symmetry_Int_Tables_number 1
_symmetry_space_group_name_Hall 'P 1'
_cell_length_a 5.213
_cell_length_b 5.213
_cell_length_c 5.213
_cell_angle_alpha 60.00
_cell_angle_beta 60.00
_cell_angle_gamma 60.00
loop_
_atom_site_label
_atom_site_type_symbol
_atom_site_fract_x
_atom_site_fract_y
_atom_site_fract_z
_atom_site_occupancy
Li1 Li 0.000 0.000 0.000 1
Sm1 Sm 0.250 0.250 0.250 1
Tb1 Tb 0.750 0.750 0.750 1
Al1 Al 0.500 0.500 0.500 1
```